## VBrNF2 (GGA+U)

Data for VBrNF2 after structural relaxation.

Structure (POSCAR):
```
VBrNF2
1.0
-1.516 0.825 -4.538
0.229 -4.757 -0.941
-3.508 -0.387 1.101
N F Br V
1 2 1 1
Cartesian
-1.754 -0.194 0.551
-0.758 0.412 -2.269
0.115 -2.379 -0.470
0.000 0.000 0.000
-2.397 -2.160 -2.189
```

Calculated values
offset from the most stable computed form = 119.8 kJ/mol of atoms
final energy = -18.7 eV/cell
DOS(E_F) = 3.24 states/eV/cell
space-group type = P4/mmm, No. 123